# 1
! PBE Pr2YRh, relaxed; values from VASP
&SYSTEM
  ibrav = 0, nat = 16, ntyp = 3
/
ATOMIC_SPECIES
Pr 140.91 Pr.upf
Y 88.91 Y.upf
Rh 102.91 Rh.upf
CELL_PARAMETERS angstrom
7.325 0.000 0.000
0.000 10.071 0.000
0.000 0.000 6.384
ATOMIC_POSITIONS angstrom
Pr 1.299 0.663 1.082
Pr 1.299 4.372 1.082
Pr 2.363 5.699 4.274
Pr 2.363 9.407 4.274
Pr 4.962 0.663 2.110
Pr 4.962 4.372 2.110
Pr 6.026 5.699 5.302
Pr 6.026 9.407 5.302
Y 0.270 2.518 4.158
Y 3.393 7.553 0.966
Y 3.933 2.518 5.418
Y 7.055 7.553 2.226
Rh 0.901 7.553 6.012
Rh 2.762 2.518 2.820
Rh 4.563 7.553 3.564
Rh 6.425 2.518 0.372
! energy of formation from the pure elements: -1.724 eV per formula unit
! VASP energy: -100.395 eV/cell
! crystal system: orthorhombic



# 2
! PBE Pr2YRh, relaxed; values from VASP
&SYSTEM
  ibrav = 0, nat = 4, ntyp = 3
/
ATOMIC_SPECIES
Pr 140.91 Pr.upf
Y 88.91 Y.upf
Rh 102.91 Rh.upf
CELL_PARAMETERS angstrom
1.971 1.138 9.427
-1.971 1.138 9.427
0.000 -2.276 9.427
ATOMIC_POSITIONS angstrom
Pr 0.000 0.000 0.000
Pr 0.000 0.000 5.988
Y 0.000 0.000 12.438
Rh 0.000 0.000 17.124
! energy of formation from the pure elements: -0.955 eV per formula unit
! VASP energy: -24.329 eV/cell
! crystal system: trigonal



# 3
! PBE Pr2YRh, relaxed; values from VASP
&SYSTEM
  ibrav = 0, nat = 4, ntyp = 3
/
ATOMIC_SPECIES
Pr 140.91 Pr.upf
Y 88.91 Y.upf
Rh 102.91 Rh.upf
CELL_PARAMETERS angstrom
3.648 0.000 0.000
0.000 3.648 0.000
0.000 0.000 8.811
ATOMIC_POSITIONS angstrom
Pr 0.000 0.000 1.679
Pr 0.000 0.000 7.132
Y 1.824 1.824 4.405
Rh 1.824 1.824 0.000
! energy of formation from the pure elements: -0.955 eV per formula unit
! VASP energy: -24.329 eV/cell
! crystal system: tetragonal



# 4
! PBE PrY3Rh2, relaxed; values from VASP
&SYSTEM
  ibrav = 0, nat = 12, ntyp = 3
/
ATOMIC_SPECIES
Pr 140.91 Pr.upf
Y 88.91 Y.upf
Rh 102.91 Rh.upf
CELL_PARAMETERS angstrom
8.164 -2.147 0.000
8.164 2.147 0.000
-4.831 0.000 9.735
ATOMIC_POSITIONS angstrom
Pr -0.115 0.000 2.056
Pr 11.612 0.000 7.679
Y 0.600 0.000 5.780
Y 0.695 0.000 9.451
Y 5.334 0.000 3.236
Y 6.164 0.000 6.499
Y 10.803 0.000 0.284
Y 10.897 0.000 3.955
Rh -1.833 0.000 8.230
Rh 3.438 0.000 5.640
Rh 8.059 0.000 4.095
Rh 13.330 0.000 1.505
! energy of formation from the pure elements: -3.246 eV per formula unit
! VASP energy: -84.241 eV/cell
! crystal system: monoclinic